Below is an optimized crystal structure of NiAgCl2, with properties calculated at the PBE level.

a b c (Å): 7.216 7.170 3.626
angles (deg): 90.00 113.44 90.00
Space group C2/m (No. 12)
Inequivalent atoms, fractional coordinates:
Ni  0.000  0.000  0.000 (multiplicity 2)
Ag  0.000  0.500  0.000 (multiplicity 2)
Cl  0.250  0.250  0.000 (multiplicity 4)

Output
total magnetization	2.0	μB per cell
raw formation energy	-0.01	eV/atom
volume	21.52	A^3/atom
energy relative to the lowest polymorph listed for this composition	283.9	meV per atom
density of states at the Fermi level	3.394	states/eV/f.u.
crystal system	monoclinic